## Sc3Ga3Fe (PBE)

Data for a relaxed Sc3Ga3Fe crystal.

Results
The calculation puts the total energy at -5.71 eV/atom. The calculation puts the energy of formation at -11.196 kcal/mol of atoms.

Cell lengths 5.5484, 5.5484, 13.8625 Å; angles 107.48, 107.48, 39.73 degrees
Last column: nearest neighbours and their distance in Å.
Sites, in units of the cell vectors:
Sc 0.0270 0.0270 0.3818  2 Fe 2.79, 6 Ga 2.80-2.95
Sc 0.1126 0.1126 0.9218  7 Ga 2.86-3.02
Sc 0.2418 0.2418 0.2417  2 Fe 2.85, 6 Ga 2.89-3.00
Sc 0.7582 0.7582 0.7583  2 Fe 2.85, 6 Ga 2.89-3.00
Sc 0.8874 0.8874 0.0782  7 Ga 2.86-3.02
Sc 0.9730 0.9730 0.6182  2 Fe 2.79, 6 Ga 2.80-2.95
Ga 0.3661 0.3661 0.4600  3 Fe 2.38-2.54, 1 Ga 2.66
Ga 0.3874 0.3874 0.9232  2 Ga 2.59-2.62, 3 Sc 2.86
Ga 0.4748 0.4748 0.7681  1 Fe 2.53, 1 Ga 2.59, 2 Sc 2.80
Ga 0.5252 0.5252 0.2319  1 Fe 2.53, 1 Ga 2.59, 2 Sc 2.80
Ga 0.6126 0.6126 0.0768  2 Ga 2.59-2.62, 3 Sc 2.86
Ga 0.6339 0.6339 0.5400  3 Fe 2.38-2.54, 1 Ga 2.66
Fe 0.2718 0.2718 0.6080  4 Ga 2.38-2.54
Fe 0.7282 0.7282 0.3920  4 Ga 2.38-2.54


## Sc2GaFe (PBE)

Data for a relaxed Sc2GaFe crystal.

Results
The calculation puts the total energy at -6.43 eV/atom. The calculation puts the energy of formation at -8.965 kcal/mol of atoms.

Cell lengths 3.2239, 3.2239, 6.5388 Å; angles 90.00, 90.00, 90.00 degrees
Last column: nearest neighbours and their distance in Å.
Sites, in units of the cell vectors:
Sc 0.0000 0.0000 0.2257  4 Fe 2.72, 4 Ga 2.90, 1 Sc 2.95
Sc 0.0000 0.0000 0.7743  4 Fe 2.72, 4 Ga 2.90, 1 Sc 2.95
Ga 0.5000 0.5000 0.5000  8 Sc 2.90, 4 Ga 3.22
Fe 0.5000 0.5000 0.0000  8 Sc 2.72


## Sc4Ga16Fe3 (PBE)

Data for a relaxed Sc4Ga16Fe3 crystal.

Results
The calculation puts the total energy at -4.71 eV/atom. The calculation puts the energy of formation at -9.171 kcal/mol of atoms.

Cell lengths 5.9001, 5.9001, 10.9136 Å; angles 90.00, 90.00, 90.00 degrees
Last column: nearest neighbours and their distance in Å.
Sites, in units of the cell vectors:
Sc 0.0000 0.5000 0.1940  12 Ga 2.92-2.98
Sc 0.0000 0.5000 0.8060  12 Ga 2.92-2.98
Sc 0.5000 0.0000 0.1940  12 Ga 2.92-2.98
Sc 0.5000 0.0000 0.8060  12 Ga 2.92-2.98
Ga 0.0000 0.0000 0.1975  8 Ga 2.83-2.89, 4 Sc 2.95
Ga 0.0000 0.0000 0.8025  8 Ga 2.83-2.89, 4 Sc 2.95
Ga 0.2203 0.2203 0.0000  1 Fe 2.33, 2 Ga 2.60
Ga 0.2203 0.7797 0.0000  1 Fe 2.33, 2 Ga 2.60
Ga 0.2502 0.2502 0.3811  2 Fe 2.46, 1 Ga 2.60
Ga 0.2502 0.2502 0.6189  2 Fe 2.46, 1 Ga 2.60
Ga 0.2502 0.7498 0.3811  2 Fe 2.46, 1 Ga 2.60
Ga 0.2502 0.7498 0.6189  2 Fe 2.46, 1 Ga 2.60
Ga 0.5000 0.5000 0.2149  1 Fe 2.35
Ga 0.5000 0.5000 0.7851  1 Fe 2.35
Ga 0.7498 0.2502 0.3811  2 Fe 2.46, 1 Ga 2.60
Ga 0.7498 0.2502 0.6189  2 Fe 2.46, 1 Ga 2.60
Ga 0.7498 0.7498 0.3811  2 Fe 2.46, 1 Ga 2.60
Ga 0.7498 0.7498 0.6189  2 Fe 2.46, 1 Ga 2.60
Ga 0.7797 0.2203 0.0000  1 Fe 2.33, 2 Ga 2.60
Ga 0.7797 0.7797 0.0000  1 Fe 2.33, 2 Ga 2.60
Fe 0.0000 0.5000 0.5000  8 Ga 2.46
Fe 0.5000 0.0000 0.5000  8 Ga 2.46
Fe 0.5000 0.5000 0.0000  6 Ga 2.33-2.35


## Sc2GaFe5Si2 (PBE)

Data for a relaxed Sc2GaFe5Si2 crystal.

Results
The calculation puts the total energy at -7.25 eV/atom. Its uncorrected formation energy is -0.36 eV/atom.

Cell lengths 9.1250, 9.1250, 3.2178 Å; angles 90.00, 90.00, 90.00 degrees
Last column: nearest neighbours and their distance in Å.
Sites, in units of the cell vectors:
Sc 0.1720 0.3280 0.0000  3 Si 2.61-2.75, 10 Fe 2.74-2.93
Sc 0.3280 0.8280 0.0000  3 Si 2.61-2.75, 10 Fe 2.74-2.93
Sc 0.6720 0.1720 0.0000  3 Si 2.61-2.75, 10 Fe 2.74-2.93
Sc 0.8280 0.6720 0.0000  3 Si 2.61-2.75, 10 Fe 2.74-2.93
Ga 0.0000 0.0000 0.0000  8 Fe 2.54
Ga 0.5000 0.5000 0.0000  8 Fe 2.54
Fe 0.0000 0.5000 0.5000  4 Si 2.28
Fe 0.0657 0.7952 0.5000  2 Si 2.30, 2 Ga 2.54
Fe 0.2048 0.0657 0.5000  2 Si 2.30, 2 Ga 2.54
Fe 0.2952 0.5657 0.5000  2 Si 2.30, 2 Ga 2.54
Fe 0.4343 0.2952 0.5000  2 Si 2.30, 2 Ga 2.54
Fe 0.5000 0.0000 0.5000  4 Si 2.28
Fe 0.5657 0.7048 0.5000  2 Si 2.30, 2 Ga 2.54
Fe 0.7048 0.4343 0.5000  2 Si 2.30, 2 Ga 2.54
Fe 0.7952 0.9343 0.5000  2 Si 2.30, 2 Ga 2.54
Fe 0.9343 0.2048 0.5000  2 Si 2.30, 2 Ga 2.54
Si 0.1255 0.6255 0.0000  6 Fe 2.28-2.30
Si 0.3745 0.1255 0.0000  6 Fe 2.28-2.30
Si 0.6255 0.8745 0.0000  6 Fe 2.28-2.30
Si 0.8745 0.3745 0.0000  6 Fe 2.28-2.30


## Sc2GaFeSi (PBE)

Data for a relaxed Sc2GaFeSi crystal.

Results
The calculation puts the total energy at -5.87 eV/atom. Its uncorrected formation energy is 0.04 eV/atom.

Cell lengths 4.9691, 4.9691, 4.1990 Å; angles 90.00, 90.00, 90.00 degrees
Last column: nearest neighbours and their distance in Å.
Sites, in units of the cell vectors:
Sc 0.0000 0.5000 0.0000  2 Si 2.48
Sc 0.5000 0.0000 0.0000  2 Si 2.48
Ga 0.0000 0.0000 0.5000  8 Sc 3.25, 4 Fe 3.51
Fe 0.5000 0.5000 0.5000  2 Si 2.10
Si 0.5000 0.5000 0.0000  2 Fe 2.10


## Sc2GaFe2Si2 (PBE)

Data for a relaxed Sc2GaFe2Si2 crystal.

Results
The calculation puts the total energy at -6.18 eV/atom. Its uncorrected formation energy is 0.03 eV/atom.

Cell lengths 7.3880, 7.3880, 7.3880 Å; angles 146.61, 146.61, 47.94 degrees
Last column: nearest neighbours and their distance in Å.
Sites, in units of the cell vectors:
Sc 0.1881 0.1881 0.0000  1 Ga 2.54, 1 Si 2.81
Sc 0.8119 0.8119 0.0000  1 Ga 2.54, 1 Si 2.81
Ga 0.0000 0.0000 0.0000  4 Fe 2.12
Fe 0.0000 0.5000 0.5000  2 Ga 2.12
Fe 0.5000 0.0000 0.5000  2 Ga 2.12
Si 0.3964 0.3964 0.0000  4 Fe 2.54, 1 Si 2.80, 1 Sc 2.81
Si 0.6036 0.6036 0.0000  4 Fe 2.54, 1 Si 2.80, 1 Sc 2.81


## Sc2Ga5FeTc2 (PBE)

Data for a relaxed Sc2Ga5FeTc2 crystal.

Results
The calculation puts the total energy at -5.89 eV/atom. The calculation puts the energy of formation at -4.473 kcal/mol of atoms.

Cell lengths 10.0431, 10.0431, 3.2853 Å; angles 90.00, 90.00, 90.00 degrees
Last column: nearest neighbours and their distance in Å.
Sites, in units of the cell vectors:
Sc 0.1792 0.3208 0.0000  1 Tc 2.65
Sc 0.3208 0.8208 0.0000  1 Tc 2.65
Sc 0.6792 0.1792 0.0000  1 Tc 2.65
Sc 0.8208 0.6792 0.0000  1 Tc 2.65
Ga 0.0000 0.5000 0.5000  4 Tc 2.51
Ga 0.0568 0.8153 0.5000  2 Fe 2.54, 2 Tc 2.57, 2 Ga 2.74
Ga 0.1847 0.0568 0.5000  2 Fe 2.54, 2 Tc 2.57, 2 Ga 2.74
Ga 0.3153 0.5568 0.5000  2 Fe 2.54, 2 Tc 2.57, 2 Ga 2.74
Ga 0.4432 0.3153 0.5000  2 Fe 2.54, 2 Tc 2.57, 2 Ga 2.74
Ga 0.5000 0.0000 0.5000  4 Tc 2.51
Ga 0.5568 0.6847 0.5000  2 Fe 2.54, 2 Tc 2.57, 2 Ga 2.74
Ga 0.6847 0.4432 0.5000  2 Fe 2.54, 2 Tc 2.57, 2 Ga 2.74
Ga 0.8153 0.9432 0.5000  2 Fe 2.54, 2 Tc 2.57, 2 Ga 2.74
Ga 0.9432 0.1847 0.5000  2 Fe 2.54, 2 Tc 2.57, 2 Ga 2.74
Fe 0.0000 0.0000 0.0000  8 Ga 2.54
Fe 0.5000 0.5000 0.0000  8 Ga 2.54
Tc 0.1340 0.6340 0.0000  6 Ga 2.51-2.57, 1 Sc 2.65
Tc 0.3660 0.1340 0.0000  6 Ga 2.51-2.57, 1 Sc 2.65
Tc 0.6340 0.8660 0.0000  6 Ga 2.51-2.57, 1 Sc 2.65
Tc 0.8660 0.3660 0.0000  6 Ga 2.51-2.57, 1 Sc 2.65


## Sc2GaFeTe (PBE)

Data for a relaxed Sc2GaFeTe crystal.

Results
The calculation puts the total energy at -4.78 eV/atom. Its uncorrected formation energy is 0.67 eV/atom.

Cell lengths 5.0743, 5.0743, 5.2267 Å; angles 90.00, 90.00, 90.00 degrees
Last column: nearest neighbours and their distance in Å.
Sites, in units of the cell vectors:
Sc 0.0000 0.5000 0.0000  2 Ga 2.54
Sc 0.5000 0.0000 0.0000  2 Ga 2.54
Ga 0.0000 0.0000 0.0000  4 Sc 2.54, 2 Te 2.61
Fe 0.5000 0.5000 0.5000  4 Te 3.59, 8 Sc 3.64
Te 0.0000 0.0000 0.5000  2 Ga 2.61


## TmScGaFe (PBE)

Data for a relaxed TmScGaFe crystal.

Results
The calculation puts the total energy at -5.84 eV/atom. The calculation puts the energy of formation at -6.088 kcal/mol of atoms.

Cell lengths 4.7326, 4.7326, 4.7326 Å; angles 60.00, 60.00, 60.00 degrees
Last column: nearest neighbours and their distance in Å.
Sites, in units of the cell vectors:
Tm 0.0000 0.0000 0.0000  4 Fe 2.90, 4 Ga 2.90
Sc 0.5000 0.5000 0.5000  4 Fe 2.90, 4 Ga 2.90
Ga 0.7500 0.7500 0.7500  4 Tm 2.90, 4 Sc 2.90
Fe 0.2500 0.2500 0.2500  4 Sc 2.90, 4 Tm 2.90


## Sc2V2GaFe5 (PBE)

Data for a relaxed Sc2V2GaFe5 crystal.

Results
The calculation puts the total energy at -7.61 eV/atom. The calculation puts the energy of formation at 0.215 kcal/mol of atoms.

Cell lengths 9.5393, 9.5393, 3.0254 Å; angles 90.00, 90.00, 90.00 degrees
Last column: nearest neighbours and their distance in Å.
Sites, in units of the cell vectors:
Sc 0.1736 0.3264 0.0000  3 V 2.69-2.90, 10 Fe 2.79-2.97
Sc 0.3264 0.8264 0.0000  3 V 2.69-2.90, 10 Fe 2.79-2.97
Sc 0.6736 0.1736 0.0000  3 V 2.69-2.90, 10 Fe 2.79-2.97
Sc 0.8264 0.6736 0.0000  3 V 2.69-2.90, 10 Fe 2.79-2.97
V 0.1268 0.6268 0.0000  6 Fe 2.28-2.31
V 0.3732 0.1268 0.0000  6 Fe 2.28-2.31
V 0.6268 0.8732 0.0000  6 Fe 2.28-2.31
V 0.8732 0.3732 0.0000  6 Fe 2.28-2.31
Ga 0.0000 0.0000 0.0000  8 Fe 2.52
Ga 0.5000 0.5000 0.0000  8 Fe 2.52
Fe 0.0000 0.5000 0.5000  4 V 2.28
Fe 0.0639 0.7981 0.5000  2 V 2.31, 2 Ga 2.52
Fe 0.2019 0.0639 0.5000  2 V 2.31, 2 Ga 2.52
Fe 0.2981 0.5639 0.5000  2 V 2.31, 2 Ga 2.52
Fe 0.4361 0.2981 0.5000  2 V 2.31, 2 Ga 2.52
Fe 0.5000 0.0000 0.5000  4 V 2.28
Fe 0.5639 0.7019 0.5000  2 V 2.31, 2 Ga 2.52
Fe 0.7019 0.4361 0.5000  2 V 2.31, 2 Ga 2.52
Fe 0.7981 0.9361 0.5000  2 V 2.31, 2 Ga 2.52
Fe 0.9361 0.2019 0.5000  2 V 2.31, 2 Ga 2.52


## ScZnGaFe (PBE)

Data for a relaxed ScZnGaFe crystal.

Results
The calculation puts the total energy at -5.00 eV/atom. The calculation puts the energy of formation at -5.132 kcal/mol of atoms.

Cell lengths 4.4275, 4.4275, 4.4275 Å; angles 60.00, 60.00, 60.00 degrees
Last column: nearest neighbours and their distance in Å.
Sites, in units of the cell vectors:
Sc 0.0000 0.0000 0.0000  4 Zn 2.71, 4 Ga 2.71
Zn 0.7500 0.7500 0.7500  4 Fe 2.71, 4 Sc 2.71
Ga 0.2500 0.2500 0.2500  4 Fe 2.71, 4 Sc 2.71
Fe 0.5000 0.5000 0.5000  4 Zn 2.71, 4 Ga 2.71


## Ga3FeSe (PBE)

Data for a relaxed Ga3FeSe crystal.

Results
The calculation puts the total energy at -2.96 eV/atom. Its uncorrected formation energy is 1.24 eV/atom.

Cell lengths 5.0995, 5.0995, 5.0995 Å; angles 90.00, 90.00, 90.00 degrees
Last column: nearest neighbours and their distance in Å.
Sites, in units of the cell vectors:
Ga 0.0000 0.0000 0.5000  2 Se 2.55
Ga 0.0000 0.5000 0.0000  2 Se 2.55
Ga 0.5000 0.0000 0.0000  2 Se 2.55
Fe 0.5000 0.5000 0.5000  12 Ga 3.61
Se 0.0000 0.0000 0.0000  6 Ga 2.55